GaB2As PBE-GGA optimized geometry; total DFT energy (no corrections) = -0.1848 hartree per atom; energy of formation = 0.23 eV per atom; relative energy among the computed polymorphs = 0.061 eV/f.u.; magnetization = 0.00 μB/f.u.
1.0
-5.382 -4.877 0.724
1.880 -1.925 1.008
2.243 7.261 9.679
Ga As B
4 4 8
Cartesian
-3.554 -0.830 5.042
-2.969 1.436 8.276
-1.493 1.838 10.385
-3.150 -3.157 3.941
1.054 4.496 6.617
1.172 4.387 10.283
-0.889 1.719 4.939
0.873 -0.097 2.282
-0.259 1.852 8.112
-1.924 0.224 4.014
-0.689 -1.048 3.376
-2.320 -0.816 2.768
-1.366 2.261 6.863
-1.548 -2.332 2.528
-0.507 3.544 7.712
0.138 2.892 9.358